1.
First-principles (PBEsol) data for an optimized crystal structure of Zn2MoPt, as listed in Alexandria.

Geometry as CIF:
```
data_Zn2MoPt
_chemical_formula_sum 'Zn4 Mo2 Pt2'
_space_group_name_H-M_alt 'C m m m'
_space_group_IT_number 65
_space_group_name_Hall '-C 2 2'
_cell_length_a 5.5828
_cell_length_b 7.7869
_cell_length_c 2.6459
_cell_angle_alpha 90.00
_cell_angle_beta 90.00
_cell_angle_gamma 90.00
loop_
_atom_site_label
_atom_site_type_symbol
_atom_site_fract_x
_atom_site_fract_y
_atom_site_fract_z
_atom_site_occupancy
Zn1 Zn 0.2500 0.2500 0.0000 1
Mo1 Mo 0.0000 0.0000 0.5000 1
Pt1 Pt 0.0000 0.5000 0.5000 1
```

2.
First-principles (PBEsol) data for an optimized crystal structure of ZnMo2Pt, as listed in Alexandria.

Geometry as CIF:
```
data_ZnMo2Pt
_chemical_formula_sum 'Zn1 Mo2 Pt1'
_space_group_name_H-M_alt 'P 4/m m m'
_space_group_IT_number 123
_space_group_name_Hall '-P 4 2'
_cell_length_a 3.6939
_cell_length_b 3.6939
_cell_length_c 4.2769
_cell_angle_alpha 90.00
_cell_angle_beta 90.00
_cell_angle_gamma 90.00
loop_
_atom_site_label
_atom_site_type_symbol
_atom_site_fract_x
_atom_site_fract_y
_atom_site_fract_z
_atom_site_occupancy
Zn1 Zn 0.0000 0.0000 0.0000 1
Mo1 Mo 0.0000 0.5000 0.5000 1
Pt1 Pt 0.5000 0.5000 0.0000 1
```

3.
First-principles (PBEsol) data for an optimized crystal structure of ZnMo4Pt, as listed in Alexandria.

Geometry as CIF:
```
data_ZnMo4Pt
_chemical_formula_sum 'Zn4 Mo16 Pt4'
_space_group_name_H-M_alt 'F -4 3 m'
_space_group_IT_number 216
_space_group_name_Hall 'F -4 2 3'
_cell_length_a 7.2331
_cell_length_b 7.2331
_cell_length_c 7.2331
_cell_angle_alpha 90.00
_cell_angle_beta 90.00
_cell_angle_gamma 90.00
loop_
_atom_site_label
_atom_site_type_symbol
_atom_site_fract_x
_atom_site_fract_y
_atom_site_fract_z
_atom_site_occupancy
Zn1 Zn 0.0000 0.0000 0.0000 1
Mo1 Mo 0.1266 0.1266 0.3734 1
Pt1 Pt 0.2500 0.2500 0.7500 1
```

4.
First-principles (PBEsol) data for an optimized crystal structure of Zn2MoPt, as listed in Alexandria.

Geometry as CIF:
```
data_Zn2MoPt
_chemical_formula_sum 'Zn2 Mo1 Pt1'
_space_group_name_H-M_alt 'P m m m'
_space_group_IT_number 47
_space_group_name_Hall '-P 2 2'
_cell_length_a 2.7319
_cell_length_b 4.5088
_cell_length_c 4.7464
_cell_angle_alpha 90.00
_cell_angle_beta 90.00
_cell_angle_gamma 90.00
loop_
_atom_site_label
_atom_site_type_symbol
_atom_site_fract_x
_atom_site_fract_y
_atom_site_fract_z
_atom_site_occupancy
Zn1 Zn 0.0000 0.0000 0.0000 1
Zn2 Zn 0.5000 0.0000 0.5000 1
Mo1 Mo 0.0000 0.5000 0.5000 1
Pt1 Pt 0.5000 0.5000 0.0000 1
```

5.
First-principles (PBEsol) data for an optimized crystal structure of ZnMo2Pt, as listed in Alexandria.

Geometry as CIF:
```
data_ZnMo2Pt
_chemical_formula_sum 'Zn1 Mo2 Pt1'
_space_group_name_H-M_alt 'P m m 2'
_space_group_IT_number 25
_space_group_name_Hall 'P 2 -2'
_cell_length_a 2.6606
_cell_length_b 3.9837
_cell_length_c 5.5571
_cell_angle_alpha 90.00
_cell_angle_beta 90.00
_cell_angle_gamma 90.00
loop_
_atom_site_label
_atom_site_type_symbol
_atom_site_fract_x
_atom_site_fract_y
_atom_site_fract_z
_atom_site_occupancy
Zn1 Zn 0.0000 0.0000 0.0000 1
Mo1 Mo 0.0000 0.0000 0.5022 1
Mo2 Mo 0.5000 0.5000 0.2516 1
Pt1 Pt 0.5000 0.5000 0.7675 1
```

6.
First-principles (PBEsol) data for an optimized crystal structure of Zn2MoPt, as listed in Alexandria.

Geometry as CIF:
```
data_Zn2MoPt
_chemical_formula_sum 'Zn8 Mo4 Pt4'
_space_group_name_H-M_alt 'F -4 3 m'
_space_group_IT_number 216
_space_group_name_Hall 'F -4 2 3'
_cell_length_a 6.1473
_cell_length_b 6.1473
_cell_length_c 6.1473
_cell_angle_alpha 90.00
_cell_angle_beta 90.00
_cell_angle_gamma 90.00
loop_
_atom_site_label
_atom_site_type_symbol
_atom_site_fract_x
_atom_site_fract_y
_atom_site_fract_z
_atom_site_occupancy
Zn1 Zn 0.0000 0.0000 0.0000 1
Zn2 Zn 0.2500 0.2500 0.2500 1
Mo1 Mo 0.2500 0.2500 0.7500 1
Pt1 Pt 0.0000 0.0000 0.5000 1
```

7.
First-principles (PBEsol) data for an optimized crystal structure of Zn4MoPt, as listed in Alexandria.

Geometry as CIF:
```
data_Zn4MoPt
_chemical_formula_sum 'Zn16 Mo4 Pt4'
_space_group_name_H-M_alt 'F -4 3 m'
_space_group_IT_number 216
_space_group_name_Hall 'F -4 2 3'
_cell_length_a 6.8933
_cell_length_b 6.8933
_cell_length_c 6.8933
_cell_angle_alpha 90.00
_cell_angle_beta 90.00
_cell_angle_gamma 90.00
loop_
_atom_site_label
_atom_site_type_symbol
_atom_site_fract_x
_atom_site_fract_y
_atom_site_fract_z
_atom_site_occupancy
Zn1 Zn 0.1242 0.1242 0.3758 1
Mo1 Mo 0.2500 0.2500 0.7500 1
Pt1 Pt 0.0000 0.0000 0.0000 1
```

8.
First-principles (PBEsol) data for an optimized crystal structure of ZnMo2Pt, as listed in Alexandria.

Geometry as CIF:
```
data_ZnMo2Pt
_chemical_formula_sum 'Zn2 Mo4 Pt2'
_space_group_name_H-M_alt 'C 1 m 1'
_space_group_IT_number 8
_space_group_name_Hall 'C -2y'
_cell_length_a 9.1062
_cell_length_b 2.6518
_cell_length_c 4.9159
_cell_angle_alpha 90.00
_cell_angle_beta 96.78
_cell_angle_gamma 90.00
loop_
_atom_site_label
_atom_site_type_symbol
_atom_site_fract_x
_atom_site_fract_y
_atom_site_fract_z
_atom_site_occupancy
Zn1 Zn 0.0000 0.0000 0.0000 1
Mo1 Mo 0.2475 0.0000 0.7410 1
Mo2 Mo 0.4878 0.0000 0.5012 1
Pt1 Pt 0.2489 0.5000 0.2285 1
```

9.
First-principles (PBEsol) data for an optimized crystal structure of RbReMo3, as listed in Alexandria.

Geometry as CIF:
```
data_RbReMo3
_chemical_formula_sum 'Rb1 Re1 Mo3'
_space_group_name_H-M_alt 'P m -3 m'
_space_group_IT_number 221
_space_group_name_Hall '-P 4 2 3'
_cell_length_a 4.5035
_cell_length_b 4.5035
_cell_length_c 4.5035
_cell_angle_alpha 90.00
_cell_angle_beta 90.00
_cell_angle_gamma 90.00
loop_
_atom_site_label
_atom_site_type_symbol
_atom_site_fract_x
_atom_site_fract_y
_atom_site_fract_z
_atom_site_occupancy
Rb1 Rb 0.0000 0.0000 0.0000 1
Re1 Re 0.5000 0.5000 0.5000 1
Mo1 Mo 0.0000 0.0000 0.5000 1
```

10.
First-principles (PBEsol) data for an optimized crystal structure of RbMoRu3, as listed in Alexandria.

Geometry as CIF:
```
data_RbMoRu3
_chemical_formula_sum 'Rb1 Mo1 Ru3'
_space_group_name_H-M_alt 'P m -3 m'
_space_group_IT_number 221
_space_group_name_Hall '-P 4 2 3'
_cell_length_a 4.5368
_cell_length_b 4.5368
_cell_length_c 4.5368
_cell_angle_alpha 90.00
_cell_angle_beta 90.00
_cell_angle_gamma 90.00
loop_
_atom_site_label
_atom_site_type_symbol
_atom_site_fract_x
_atom_site_fract_y
_atom_site_fract_z
_atom_site_occupancy
Rb1 Rb 0.0000 0.0000 0.0000 1
Mo1 Mo 0.5000 0.5000 0.5000 1
Ru1 Ru 0.0000 0.0000 0.5000 1
```

11.
First-principles (PBEsol) data for an optimized crystal structure of Rb2TaMoRu, as listed in Alexandria.

Geometry as CIF:
```
data_Rb2TaMoRu
_chemical_formula_sum 'Rb2 Ta1 Mo1 Ru1'
_space_group_name_H-M_alt 'P 4/m m m'
_space_group_IT_number 123
_space_group_name_Hall '-P 4 2'
_cell_length_a 6.1730
_cell_length_b 6.1730
_cell_length_c 4.5810
_cell_angle_alpha 90.00
_cell_angle_beta 90.00
_cell_angle_gamma 90.00
loop_
_atom_site_label
_atom_site_type_symbol
_atom_site_fract_x
_atom_site_fract_y
_atom_site_fract_z
_atom_site_occupancy
Rb1 Rb 0.0000 0.5000 0.0000 1
Ta1 Ta 0.0000 0.0000 0.5000 1
Mo1 Mo 0.0000 0.0000 0.0000 1
Ru1 Ru 0.5000 0.5000 0.5000 1
```

12.
# PBEsol RbMo3S3, relaxed
data_RbMo3S3
_chemical_formula_sum 'Rb2 Mo6 S6'
_space_group_name_H-M_alt 'P 63/m'
_space_group_IT_number 176
_space_group_name_Hall '-P 6c'
_cell_length_a 8.9373
_cell_length_b 8.9373
_cell_length_c 4.3975
_cell_angle_alpha 90.00
_cell_angle_beta 90.00
_cell_angle_gamma 120.00
loop_
_atom_site_label
_atom_site_type_symbol
_atom_site_fract_x
_atom_site_fract_y
_atom_site_fract_z
_atom_site_occupancy
Rb1 Rb 0.3333 0.6667 0.2500 1
Mo1 Mo 0.0290 0.8456 0.2500 1
S1 S 0.0559 0.7133 0.7500 1
# **Energy relative to the elements, uncorrected**: -580 kJ/mol of formula units

13.
# PBEsol RbTlMoS2, relaxed
data_RbTlMoS2
_chemical_formula_sum 'Rb1 Tl1 Mo1 S2'
_space_group_name_H-M_alt 'P 4/m m m'
_space_group_IT_number 123
_space_group_name_Hall '-P 4 2'
_cell_length_a 4.6863
_cell_length_b 4.6863
_cell_length_c 5.8828
_cell_angle_alpha 90.00
_cell_angle_beta 90.00
_cell_angle_gamma 90.00
loop_
_atom_site_label
_atom_site_type_symbol
_atom_site_fract_x
_atom_site_fract_y
_atom_site_fract_z
_atom_site_occupancy
Rb1 Rb 0.0000 0.0000 0.0000 1
Tl1 Tl 0.5000 0.5000 0.0000 1
Mo1 Mo 0.0000 0.0000 0.5000 1
S1 S 0.0000 0.5000 0.5000 1
# **Energy relative to the elements, uncorrected**: 72 kJ/mol of formula units

14.
# PBEsol Rb2MoWS, relaxed
data_Rb2MoWS
_chemical_formula_sum 'Rb2 Mo1 W1 S1'
_space_group_name_H-M_alt 'P 4/m m m'
_space_group_IT_number 123
_space_group_name_Hall '-P 4 2'
_cell_length_a 6.4240
_cell_length_b 6.4240
_cell_length_c 4.4915
_cell_angle_alpha 90.00
_cell_angle_beta 90.00
_cell_angle_gamma 90.00
loop_
_atom_site_label
_atom_site_type_symbol
_atom_site_fract_x
_atom_site_fract_y
_atom_site_fract_z
_atom_site_occupancy
Rb1 Rb 0.0000 0.5000 0.0000 1
Mo1 Mo 0.0000 0.0000 0.5000 1
W1 W 0.5000 0.5000 0.5000 1
S1 S 0.5000 0.5000 0.0000 1
# **Energy relative to the elements, uncorrected**: 754 kJ/mol of formula units

15.
# PBEsol RbMo6Se7, relaxed
data_RbMo6Se7
_chemical_formula_sum 'Rb6 Mo36 Se42'
_space_group_name_H-M_alt 'R -3'
_space_group_IT_number 148
_space_group_name_Hall '-R 3'
_cell_length_a 9.4815
_cell_length_b 9.4815
_cell_length_c 24.5699
_cell_angle_alpha 90.00
_cell_angle_beta 90.00
_cell_angle_gamma 120.00
loop_
_atom_site_label
_atom_site_type_symbol
_atom_site_fract_x
_atom_site_fract_y
_atom_site_fract_z
_atom_site_occupancy
Rb1 Rb 0.0000 0.0000 0.1325 1
Mo1 Mo 0.0172 0.1699 0.5444 1
Mo2 Mo 0.0232 0.1709 0.3619 1
Se1 Se 0.0000 0.0000 0.2804 1
Se2 Se 0.9998 0.3748 0.2965 1
Se3 Se 0.0032 0.3710 0.1191 1
# **Energy relative to the elements, uncorrected**: -875 kJ/mol of formula units

16.
# PBEsol Rb2MoSe4, relaxed
data_Rb2MoSe4
_chemical_formula_sum 'Rb8 Mo4 Se16'
_space_group_name_H-M_alt 'P n m a'
_space_group_IT_number 62
_space_group_name_Hall '-P 2ac 2n'
_cell_length_a 10.0127
_cell_length_b 7.1262
_cell_length_c 12.5509
_cell_angle_alpha 90.00
_cell_angle_beta 90.00
_cell_angle_gamma 90.00
loop_
_atom_site_label
_atom_site_type_symbol
_atom_site_fract_x
_atom_site_fract_y
_atom_site_fract_z
_atom_site_occupancy
Rb1 Rb 0.0445 0.2500 0.1559 1
Rb2 Rb 0.1564 0.7500 0.3930 1
Mo1 Mo 0.2500 0.2500 0.5766 1
Se1 Se 0.0231 0.7500 0.1169 1
Se2 Se 0.1497 0.5094 0.6514 1
Se3 Se 0.2131 0.2500 0.3948 1
# **Energy relative to the elements, uncorrected**: -527 kJ/mol of formula units

17.
First-principles (PBEsol) data for an optimized crystal structure of Rb3SnMo, as listed in Alexandria.

Geometry as CIF:
```
data_Rb3SnMo
_chemical_formula_sum 'Rb3 Sn1 Mo1'
_space_group_name_H-M_alt 'P m -3 m'
_space_group_IT_number 221
_space_group_name_Hall '-P 4 2 3'
_cell_length_a 6.9335
_cell_length_b 6.9335
_cell_length_c 6.9335
_cell_angle_alpha 90.00
_cell_angle_beta 90.00
_cell_angle_gamma 90.00
loop_
_atom_site_label
_atom_site_type_symbol
_atom_site_fract_x
_atom_site_fract_y
_atom_site_fract_z
_atom_site_occupancy
Rb1 Rb 0.0000 0.0000 0.5000 1
Sn1 Sn 0.0000 0.0000 0.0000 1
Mo1 Mo 0.5000 0.5000 0.5000 1
```

18.
First-principles (PBEsol) data for an optimized crystal structure of Rb2TaMo, as listed in Alexandria.

Geometry as CIF:
```
data_Rb2TaMo
_chemical_formula_sum 'Rb8 Ta4 Mo4'
_space_group_name_H-M_alt 'F m -3 m'
_space_group_IT_number 225
_space_group_name_Hall '-F 4 2 3'
_cell_length_a 8.4573
_cell_length_b 8.4573
_cell_length_c 8.4573
_cell_angle_alpha 90.00
_cell_angle_beta 90.00
_cell_angle_gamma 90.00
loop_
_atom_site_label
_atom_site_type_symbol
_atom_site_fract_x
_atom_site_fract_y
_atom_site_fract_z
_atom_site_occupancy
Rb1 Rb 0.2500 0.2500 0.2500 1
Ta1 Ta 0.0000 0.0000 0.0000 1
Mo1 Mo 0.0000 0.0000 0.5000 1
```

19.
First-principles (PBEsol) data for an optimized crystal structure of RbZr2TcMo, as listed in Alexandria.

Geometry as CIF:
```
data_RbZr2TcMo
_chemical_formula_sum 'Rb1 Zr2 Tc1 Mo1'
_space_group_name_H-M_alt 'P 4/m m m'
_space_group_IT_number 123
_space_group_name_Hall '-P 4 2'
_cell_length_a 4.9454
_cell_length_b 4.9454
_cell_length_c 5.2543
_cell_angle_alpha 90.00
_cell_angle_beta 90.00
_cell_angle_gamma 90.00
loop_
_atom_site_label
_atom_site_type_symbol
_atom_site_fract_x
_atom_site_fract_y
_atom_site_fract_z
_atom_site_occupancy
Rb1 Rb 0.0000 0.0000 0.0000 1
Zr1 Zr 0.0000 0.5000 0.5000 1
Tc1 Tc 0.5000 0.5000 0.0000 1
Mo1 Mo 0.0000 0.0000 0.5000 1
```

20.
# PBEsol Rb2ZnTeMo, relaxed
data_Rb2ZnTeMo
_chemical_formula_sum 'Rb2 Zn1 Te1 Mo1'
_space_group_name_H-M_alt 'P 4/m m m'
_space_group_IT_number 123
_space_group_name_Hall '-P 4 2'
_cell_length_a 6.8063
_cell_length_b 6.8063
_cell_length_c 5.1069
_cell_angle_alpha 90.00
_cell_angle_beta 90.00
_cell_angle_gamma 90.00
loop_
_atom_site_label
_atom_site_type_symbol
_atom_site_fract_x
_atom_site_fract_y
_atom_site_fract_z
_atom_site_occupancy
Rb1 Rb 0.0000 0.5000 0.0000 1
Zn1 Zn 0.0000 0.0000 0.5000 1
Te1 Te 0.5000 0.5000 0.5000 1
Mo1 Mo 0.5000 0.5000 0.0000 1
# **Energy relative to the elements, uncorrected**: 361 kJ/mol of formula units

Calculated total energy readings, ordered: -43.79; -32.44; -213.97; -21.96; -32.34; -87.04; -98.89; -64.64; -32.17; -26.47; -23.31; -110.99; -23.44; -24.19; -645.94; -138.73; -12.39; -59.71; -32.59; -15.18 eV/cell